A relaxed Nd2MnOs crystal. Source: Alexandria, functional PBE.

```
Nd2MnOs
1.0
1.683 0.972 10.356
-1.683 0.972 10.356
0.000 -1.943 10.356
Nd Mn Os
2 1 1
direct
0.097 0.097 0.097
0.903 0.903 0.903
0.000 0.000 0.000
0.500 0.500 0.500
```

Summary:
Fermi-level density of states = 0.90 states/eV/atom
Crystal system = trigonal
Symmetry = R-3m, No. 166
Raw total energy = -6.7332 eV per atom